# TlHgAs2, single point on PBEsol structure, DFT SCAN
data_TlHgAs2
_chemical_formula_sum 'Tl2 Hg2 As4'
_cell_length_a 12.001
_cell_length_b 3.533
_cell_length_c 5.395
_cell_angle_alpha 90.00
_cell_angle_beta 114.48
_cell_angle_gamma 90.00
_symmetry_space_group_name_H-M 'C 1 2/m 1'
_symmetry_Int_Tables_number 12
loop_
_symmetry_equiv_pos_as_xyz
'x,y,z'
'-x,-y,-z'
'-x,y,-z'
'x,-y,z'
'x+1/2,y+1/2,z'
'-x+1/2,-y+1/2,-z'
'-x+1/2,y+1/2,-z'
'x+1/2,-y+1/2,z'
loop_
_atom_site_label
_atom_site_type_symbol
_atom_site_fract_x
_atom_site_fract_y
_atom_site_fract_z
Tl1 Tl 0.000 0.000 0.000
Hg1 Hg 0.000 0.500 0.500
As1 As 0.240 0.000 0.836
# Magnetic moment = 0.0 Bohr magnetons per cell
# Total DFT energy (no corrections) = -3.3169 Ry per atom
# Energy relative to the lowest polymorph listed for this composition = 8.0 kJ/mol of atoms
# DFT formation energy = 98 meV/atom